Compound: TbNd2Hg5
Source: Alexandria via LeMat-Bulk
Functional: GGA-PBE
Structure: relaxed

The value obtained for the formation energy from the elements is -0.4196 eV/atom.

The structure belongs to space group I4/mmm (No. 139); the cell edges are 5.247, 5.247 and 15.136 Å and the angles 90.00°, 90.00° and 90.00°. Symmetry generates all atoms from Tb at (0.000, 0.000, 0.000), Nd at (0.000, 0.000, 0.265), Hg at (0.000, 0.000, 0.500) and Hg at (0.000, 0.500, 0.118).